1.
This record from the Alexandria database describes an optimized crystal structure of YPaFeCo. The functional is PBE-GGA.

Structure (CIF):
```
data_YPaFeCo
_chemical_formula_sum 'Y4 Pa4 Fe4 Co4'
_space_group_name_H-M_alt 'F -4 3 m'
_space_group_IT_number 216
_space_group_name_Hall 'F -4 2 3'
_cell_length_a 6.683
_cell_length_b 6.683
_cell_length_c 6.683
_cell_angle_alpha 90.00
_cell_angle_beta 90.00
_cell_angle_gamma 90.00
loop_
_atom_site_label
_atom_site_fract_x
_atom_site_fract_y
_atom_site_fract_z
Y1 0.000 0.000 0.000
Pa1 0.000 0.000 0.500
Fe1 0.250 0.250 0.750
Co1 0.250 0.250 0.250
```


2.
This record from the Alexandria database describes an optimized crystal structure of PaZnFeCo. The functional is PBE-GGA.

Structure (CIF):
```
data_PaZnFeCo
_chemical_formula_sum 'Pa4 Zn4 Fe4 Co4'
_space_group_name_H-M_alt 'F -4 3 m'
_space_group_IT_number 216
_space_group_name_Hall 'F -4 2 3'
_cell_length_a 6.242
_cell_length_b 6.242
_cell_length_c 6.242
_cell_angle_alpha 90.00
_cell_angle_beta 90.00
_cell_angle_gamma 90.00
loop_
_atom_site_label
_atom_site_fract_x
_atom_site_fract_y
_atom_site_fract_z
Pa1 0.000 0.000 0.000
Zn1 0.000 0.000 0.500
Fe1 0.250 0.250 0.750
Co1 0.250 0.250 0.250
```


3.
This record from the Alexandria database describes an optimized crystal structure of Pa2ZnFe2Co5. The functional is PBE-GGA.

Structure (CIF):
```
data_Pa2ZnFe2Co5
_chemical_formula_sum 'Pa4 Zn2 Fe4 Co10'
_space_group_name_H-M_alt 'P 4/m b m'
_space_group_IT_number 127
_space_group_name_Hall '-P 4 2ab'
_cell_length_a 8.490
_cell_length_b 8.490
_cell_length_c 3.884
_cell_angle_alpha 90.00
_cell_angle_beta 90.00
_cell_angle_gamma 90.00
loop_
_atom_site_label
_atom_site_fract_x
_atom_site_fract_y
_atom_site_fract_z
Pa1 0.164 0.336 0.000
Zn1 0.000 0.000 0.000
Fe1 0.143 0.643 0.000
Co1 0.000 0.500 0.500
Co2 0.070 0.805 0.500
```


4.
This record from the Alexandria database describes an optimized crystal structure of ZrPaFeCo. The functional is PBE-GGA.

Structure (CIF):
```
data_ZrPaFeCo
_chemical_formula_sum 'Zr2 Pa2 Fe2 Co2'
_space_group_name_H-M_alt 'A m m 2'
_space_group_IT_number 38
_cell_length_a 4.258
_cell_length_b 3.444
_cell_length_c 9.436
_cell_angle_alpha 90.00
_cell_angle_beta 90.00
_cell_angle_gamma 90.00
loop_
_space_group_symop_operation_xyz
'x,y,z'
'-x,-y,z'
'-x,y,z'
'x,-y,z'
'x,y+1/2,z+1/2'
'-x,-y+1/2,z+1/2'
'-x,y+1/2,z+1/2'
'x,-y+1/2,z+1/2'
loop_
_atom_site_label
_atom_site_fract_x
_atom_site_fract_y
_atom_site_fract_z
Zr1 0.000 0.000 0.000
Pa1 0.500 0.000 0.710
Fe1 0.500 0.000 0.468
Co1 0.000 0.000 0.280
```


5.
This record from the Alexandria database describes an optimized crystal structure of ZrPaFeCo. The functional is PBE-GGA.

Structure (CIF):
```
data_ZrPaFeCo
_chemical_formula_sum 'Zr4 Pa4 Fe4 Co4'
_space_group_name_H-M_alt 'F -4 3 m'
_space_group_IT_number 216
_space_group_name_Hall 'F -4 2 3'
_cell_length_a 6.510
_cell_length_b 6.510
_cell_length_c 6.510
_cell_angle_alpha 90.00
_cell_angle_beta 90.00
_cell_angle_gamma 90.00
loop_
_atom_site_label
_atom_site_fract_x
_atom_site_fract_y
_atom_site_fract_z
Zr1 0.000 0.000 0.000
Pa1 0.000 0.000 0.500
Fe1 0.250 0.250 0.250
Co1 0.250 0.250 0.750
```


6.
This record from the Alexandria database describes an optimized crystal structure of Fe4CoPb. The functional is PBE-GGA.

Structure (CIF):
```
data_Fe4CoPb
_chemical_formula_sum 'Fe16 Co4 Pb4'
_space_group_name_H-M_alt 'F -4 3 m'
_space_group_IT_number 216
_space_group_name_Hall 'F -4 2 3'
_cell_length_a 6.924
_cell_length_b 6.924
_cell_length_c 6.924
_cell_angle_alpha 90.00
_cell_angle_beta 90.00
_cell_angle_gamma 90.00
loop_
_atom_site_label
_atom_site_fract_x
_atom_site_fract_y
_atom_site_fract_z
Fe1 0.124 0.124 0.376
Co1 0.250 0.250 0.750
Pb1 0.000 0.000 0.000
```


| no. | formation energy from the elements (eV/f.u.) |
| --- | --- |
| 1 | 0.0 |
| 2 | -0.4 |
| 3 | -1.7 |
| 4 | -1.2 |
| 5 | -0.3 |
| 6 | 2.0 |